(1)
Below is an optimized crystal structure of TmHfGa2, with properties calculated at the PBE level. Values from VASP.

The energy above the most stable polymorph in this dataset is 76 meV/atom. The density of states at the Fermi level comes out at 0.62 states/eV/atom. For the magnetization, the calculation gives 0.0 Bohr magnetons per cell. The formation energy comes out at -0.380 eV per atom.

Structure (Quantum ESPRESSO input):
```
&SYSTEM
  ibrav = 0, nat = 16, ntyp = 3
/
ATOMIC_SPECIES
Tm 168.93 Tm.upf
Hf 178.49 Hf.upf
Ga 69.72 Ga.upf
CELL_PARAMETERS angstrom
6.8539 0.0000 0.0000
0.0000 6.8539 0.0000
0.0000 0.0000 6.8539
ATOMIC_POSITIONS crystal
Tm 0.0000 0.0000 0.0000
Tm 0.0000 0.5000 0.5000
Tm 0.5000 0.0000 0.5000
Tm 0.5000 0.5000 0.0000
Hf 0.0000 0.0000 0.5000
Hf 0.0000 0.5000 0.0000
Hf 0.5000 0.0000 0.0000
Hf 0.5000 0.5000 0.5000
Ga 0.2500 0.2500 0.2500
Ga 0.2500 0.2500 0.7500
Ga 0.2500 0.7500 0.2500
Ga 0.2500 0.7500 0.7500
Ga 0.7500 0.2500 0.2500
Ga 0.7500 0.2500 0.7500
Ga 0.7500 0.7500 0.2500
Ga 0.7500 0.7500 0.7500
```

(2)
Below is an optimized crystal structure of CsPaCl6, with properties calculated at the PBE level. Values from VASP.

The formation energy from raw total energies is -1.957 eV per atom. The density of states at the Fermi level comes out at 0.00 states/eV/atom. For the magnetization, the calculation gives 0.0 Bohr magnetons per cell.

Structure (Quantum ESPRESSO input):
```
&SYSTEM
  ibrav = 0, nat = 8, ntyp = 3
/
ATOMIC_SPECIES
Cs 132.91 Cs.upf
Pa 231.04 Pa.upf
Cl 35.45 Cl.upf
CELL_PARAMETERS angstrom
3.6661 2.1166 6.7333
-3.6661 2.1166 6.7333
0.0000 -4.2332 6.7333
ATOMIC_POSITIONS crystal
Cs 0.0000 0.0000 0.0000
Pa 0.5000 0.5000 0.5000
Cl 0.0986 0.5899 0.5899
Cl 0.4101 0.4101 0.9014
Cl 0.4101 0.9014 0.4101
Cl 0.5899 0.0986 0.5899
Cl 0.5899 0.5899 0.0986
Cl 0.9014 0.4101 0.4101
```

(3)
Below is an optimized crystal structure of Tb6ErTm2Mg, with properties calculated at the PBE level. Values from VASP.

The density of states at the Fermi level comes out at 1.25 states/eV/atom. For the magnetization, the calculation gives 0.0 Bohr magnetons per cell. The formation energy comes out at 0.124 eV per atom.

Structure (Quantum ESPRESSO input):
```
&SYSTEM
  ibrav = 0, nat = 20, ntyp = 4
/
ATOMIC_SPECIES
Tb 158.93 Tb.upf
Er 167.26 Er.upf
Tm 168.93 Tm.upf
Mg 24.30 Mg.upf
CELL_PARAMETERS angstrom
4.5298 -7.3068 0.0000
4.5298 7.3068 0.0000
-1.4121 0.0000 9.3926
ATOMIC_POSITIONS crystal
Tb 0.0077 0.5657 0.1879
Tb 0.1210 0.7560 0.5514
Tb 0.2440 0.8790 0.9486
Tb 0.2977 0.5016 0.3861
Tb 0.4343 0.9923 0.3121
Tb 0.4984 0.7023 0.1139
Tb 0.5016 0.2977 0.8861
Tb 0.5657 0.0077 0.6879
Tb 0.7023 0.4984 0.6139
Tb 0.7560 0.1210 0.0514
Tb 0.8790 0.2440 0.4486
Tb 0.9923 0.4343 0.8121
Er 0.0201 0.9799 0.2500
Er 0.9799 0.0201 0.7500
Tm 0.1982 0.2983 0.0511
Tm 0.2983 0.1982 0.5511
Tm 0.7017 0.8018 0.4489
Tm 0.8018 0.7017 0.9489
Mg 0.4059 0.5941 0.7500
Mg 0.5941 0.4059 0.2500
```

(4)
Below is an optimized crystal structure of Ac8CoNi3I4, with properties calculated at the PBE level. Values from VASP.

The formation energy from raw total energies is -0.699 eV per atom. The density of states at the Fermi level comes out at 0.64 states/eV/atom. For the magnetization, the calculation gives 0.0 Bohr magnetons per cell.

Structure (Quantum ESPRESSO input):
```
&SYSTEM
  ibrav = 0, nat = 16, ntyp = 4
/
ATOMIC_SPECIES
Ac 227.00 Ac.upf
Co 58.93 Co.upf
Ni 58.69 Ni.upf
I 126.90 I.upf
CELL_PARAMETERS angstrom
7.4928 -4.3536 0.0000
7.4928 4.3536 0.0000
-5.0033 0.0000 8.6158
ATOMIC_POSITIONS crystal
Ac 0.2235 0.2235 0.6817
Ac 0.2236 0.7319 0.6817
Ac 0.2681 0.7764 0.3183
Ac 0.2737 0.2737 0.3186
Ac 0.7263 0.7263 0.6814
Ac 0.7319 0.2236 0.6817
Ac 0.7764 0.2681 0.3183
Ac 0.7765 0.7765 0.3183
Co 0.0000 0.0000 0.5000
Ni 0.0000 0.5000 0.5000
Ni 0.5000 0.0000 0.5000
Ni 0.5000 0.5000 0.5000
I 0.0000 0.0000 0.0000
I 0.0000 0.5000 0.0000
I 0.5000 0.0000 0.0000
I 0.5000 0.5000 0.0000
```

(5)
Below is an optimized crystal structure of HoInAu2, with properties calculated at the PBE level. Values from VASP.

The density of states at the Fermi level comes out at 0.50 states/eV/atom. For the magnetization, the calculation gives 0.0 Bohr magnetons per cell. The formation energy comes out at -0.579 eV per atom.

Structure (Quantum ESPRESSO input):
```
&SYSTEM
  ibrav = 0, nat = 4, ntyp = 3
/
ATOMIC_SPECIES
Ho 164.93 Ho.upf
In 114.82 In.upf
Au 196.97 Au.upf
CELL_PARAMETERS angstrom
4.8238 0.0000 0.0000
0.0000 4.8238 0.0000
0.0000 0.0000 3.7460
ATOMIC_POSITIONS crystal
Ho 0.0000 0.0000 0.0000
In 0.5000 0.5000 0.0000
Au 0.0000 0.5000 0.5000
Au 0.5000 0.0000 0.5000
```

(6)
Below is an optimized crystal structure of NpSe2Cl2, with properties calculated at the PBE level. Values from VASP.

The formation energy from raw total energies is -1.169 eV per atom. The density of states at the Fermi level comes out at 1.78 states/eV/atom. For the magnetization, the calculation gives 6.0 Bohr magnetons per cell.

Structure (Quantum ESPRESSO input):
```
&SYSTEM
  ibrav = 0, nat = 10, ntyp = 3
/
ATOMIC_SPECIES
Np 237.00 Np.upf
Se 78.96 Se.upf
Cl 35.45 Cl.upf
CELL_PARAMETERS angstrom
3.4839 -6.4181 0.0000
3.4839 6.4181 0.0000
-1.8462 0.0000 7.1593
ATOMIC_POSITIONS crystal
Np 0.1535 0.8465 0.0000
Np 0.8465 0.1535 0.0000
Se 0.0834 0.0834 0.3049
Se 0.3141 0.3141 0.1227
Se 0.6859 0.6859 0.8773
Se 0.9166 0.9166 0.6951
Cl 0.0407 0.4595 0.7800
Cl 0.4595 0.0407 0.7800
Cl 0.5405 0.9593 0.2200
Cl 0.9593 0.5405 0.2200
```

(7)
Below is an optimized crystal structure of Y2PuZrP4, with properties calculated at the PBE level. Values from VASP.

The density of states at the Fermi level comes out at 1.35 states/eV/atom. For the magnetization, the calculation gives 5.1 Bohr magnetons per cell. The formation energy comes out at -1.448 eV per atom.

Structure (Quantum ESPRESSO input):
```
&SYSTEM
  ibrav = 0, nat = 8, ntyp = 4
/
ATOMIC_SPECIES
Y 88.91 Y.upf
Pu 244.00 Pu.upf
Zr 91.22 Zr.upf
P 30.97 P.upf
CELL_PARAMETERS angstrom
6.7924 0.0000 0.0000
0.0000 3.9321 0.0000
-2.2469 0.0000 6.4221
ATOMIC_POSITIONS crystal
Y 0.0000 0.0000 0.0000
Y 0.5000 0.5000 0.0000
Pu 0.0000 0.5000 0.5000
Zr 0.5000 0.0000 0.5000
P 0.2529 0.0000 0.7405
P 0.2596 0.5000 0.2624
P 0.7404 0.5000 0.7376
P 0.7471 0.0000 0.2595
```

(8)
Below is an optimized crystal structure of Mn2Cd2Br, with properties calculated at the PBE level. Values from VASP.

The formation energy from raw total energies is 0.375 eV per atom. The energy above the most stable polymorph in this dataset is 0 meV/atom. The density of states at the Fermi level comes out at 1.02 states/eV/atom. For the magnetization, the calculation gives 16.9 Bohr magnetons per cell.

Structure (Quantum ESPRESSO input):
```
&SYSTEM
  ibrav = 0, nat = 10, ntyp = 3
/
ATOMIC_SPECIES
Mn 54.94 Mn.upf
Cd 112.41 Cd.upf
Br 79.90 Br.upf
CELL_PARAMETERS angstrom
8.2714 0.0000 0.0000
0.0000 8.2714 0.0000
0.0000 0.0000 3.1980
ATOMIC_POSITIONS crystal
Mn 0.1160 0.3840 0.0000
Mn 0.3840 0.8840 0.0000
Mn 0.6160 0.1160 0.0000
Mn 0.8840 0.6160 0.0000
Cd 0.1780 0.6780 0.5000
Cd 0.3220 0.1780 0.5000
Cd 0.6780 0.8220 0.5000
Cd 0.8220 0.3220 0.5000
Br 0.0000 0.0000 0.5000
Br 0.5000 0.5000 0.5000
```

(9)
Below is an optimized crystal structure of LiHgSeN2, with properties calculated at the PBE level. Values from VASP.

The formation energy from raw total energies is 1.535 eV per atom. The energy above the most stable polymorph in this dataset is 37 meV/atom. The density of states at the Fermi level comes out at 0.48 states/eV/atom. For the magnetization, the calculation gives 5.2 Bohr magnetons per cell.

Structure (Quantum ESPRESSO input):
```
&SYSTEM
  ibrav = 0, nat = 5, ntyp = 4
/
ATOMIC_SPECIES
Li 6.94 Li.upf
Hg 200.59 Hg.upf
Se 78.96 Se.upf
N 14.01 N.upf
CELL_PARAMETERS angstrom
4.0847 0.0000 0.0000
0.0000 4.0847 0.0000
0.0000 0.0000 5.3655
ATOMIC_POSITIONS crystal
Li 0.0000 0.0000 0.0000
Hg 0.5000 0.5000 0.5000
Se 0.0000 0.0000 0.5000
N 0.0000 0.5000 0.0000
N 0.5000 0.0000 0.0000
```

(10)
Below is an optimized crystal structure of ScRe3Pt, with properties calculated at the PBE level. Values from VASP.

The energy above the most stable polymorph in this dataset is 0 meV/atom. The density of states at the Fermi level comes out at 1.14 states/eV/atom. For the magnetization, the calculation gives 0.0 Bohr magnetons per cell. The formation energy comes out at 1.887 eV per atom.

Structure (Quantum ESPRESSO input):
```
&SYSTEM
  ibrav = 0, nat = 5, ntyp = 3
/
ATOMIC_SPECIES
Sc 44.96 Sc.upf
Re 186.21 Re.upf
Pt 195.08 Pt.upf
CELL_PARAMETERS angstrom
4.7593 0.0000 0.0000
0.0000 4.7593 0.0000
0.0000 0.0000 4.7593
ATOMIC_POSITIONS crystal
Sc 0.0000 0.0000 0.0000
Re 0.0000 0.5000 0.5000
Re 0.5000 0.0000 0.5000
Re 0.5000 0.5000 0.0000
Pt 0.5000 0.5000 0.5000
```

(11)
Below is an optimized crystal structure of La2Sm3Th2, with properties calculated at the PBE level. Values from VASP.

The density of states at the Fermi level comes out at 1.70 states/eV/atom. For the magnetization, the calculation gives 0.0 Bohr magnetons per cell. The formation energy comes out at 0.040 eV per atom.

Structure (Quantum ESPRESSO input):
```
&SYSTEM
  ibrav = 0, nat = 7, ntyp = 3
/
ATOMIC_SPECIES
La 138.91 La.upf
Sm 150.36 Sm.upf
Th 232.04 Th.upf
CELL_PARAMETERS angstrom
3.6387 0.0000 0.0000
1.8093 7.9594 0.0000
0.0019 3.2949 8.2706
ATOMIC_POSITIONS crystal
La 0.0812 0.3400 0.2216
La 0.9188 0.6600 0.7784
Sm 0.3510 0.7972 0.0754
Sm 0.5000 0.5000 0.5000
Sm 0.6490 0.2028 0.9246
Th 0.2133 0.0748 0.6365
Th 0.7867 0.9252 0.3635
```

(12)
Below is an optimized crystal structure of HfCuP2S, with properties calculated at the PBE level. Values from VASP.

The formation energy from raw total energies is 0.442 eV per atom. The energy above the most stable polymorph in this dataset is 61 meV/atom. The density of states at the Fermi level comes out at 1.00 states/eV/atom. For the magnetization, the calculation gives 0.0 Bohr magnetons per cell.

Structure (Quantum ESPRESSO input):
```
&SYSTEM
  ibrav = 0, nat = 5, ntyp = 4
/
ATOMIC_SPECIES
Hf 178.49 Hf.upf
Cu 63.55 Cu.upf
P 30.97 P.upf
S 32.06 S.upf
CELL_PARAMETERS angstrom
4.9673 0.0000 0.0000
0.0000 4.9673 0.0000
0.0000 0.0000 4.8368
ATOMIC_POSITIONS crystal
Hf 0.0000 0.0000 0.0000
Cu 0.5000 0.5000 0.5000
P 0.0000 0.5000 0.0000
P 0.5000 0.0000 0.0000
S 0.0000 0.0000 0.5000
```

Among the records above, which one has the highest magnetization? Mn2Cd2Br

Number 5 is which compound? HoInAu2